Sr9Tl3N2 | Alexandria | PBE | relaxed; symmetry = P-3m1, No. 164; raw formation energy = -437 meV/atom
1.0
7.610 0.000 0.000
-3.805 6.590 0.000
0.000 0.000 9.356
Sr Tl N
9 3 2
direct
0.176 0.824 0.681
0.176 0.351 0.681
0.500 0.500 0.000
0.824 0.649 0.319
0.351 0.176 0.319
0.649 0.824 0.681
0.824 0.176 0.319
0.000 0.500 0.000
0.500 0.000 0.000
0.667 0.333 0.659
0.000 0.000 0.000
0.333 0.667 0.341
0.667 0.333 0.171
0.333 0.667 0.829

EuHoIrRh | Alexandria | PBE | relaxed; symmetry = F-43m, No. 216; E_form = -53.5 kJ/mol of atoms
1.0
4.887 0.000 0.000
2.444 4.232 0.000
2.444 1.411 3.990
Eu Ir Rh Ho
1 1 1 1
direct
0.750 0.750 0.750
0.000 0.000 0.000
0.500 0.500 0.500
0.250 0.250 0.250

Number 1: total energy -3.215 eV per atom, total magnetic moment 0.09 μB/atom, calculated density 5.06 g/cm³. Number 2: total energy -8.321 eV per atom, total magnetic moment 1.65 μB/atom, calculated density 12.31 g/cm³.